## KH2Pt (GGA-PBE)

Data for KH2Pt after structural relaxation.

```
data_KH2Pt
_cell_length_a 6.170
_cell_length_b 6.170
_cell_length_c 6.170
_cell_angle_alpha 133.26
_cell_angle_beta 133.26
_cell_angle_gamma 68.24
_symmetry_space_group_name_H-M 'P 1'
_symmetry_Int_Tables_number 1
loop_
_symmetry_equiv_pos_as_xyz
'x,y,z'
loop_
_atom_site_label
_atom_site_fract_x
_atom_site_fract_y
_atom_site_fract_z
K1 0.000 0.000 0.000
K2 0.750 0.250 0.500
H1 0.373 0.625 0.248
H2 0.375 0.623 0.748
H3 0.377 0.125 0.752
H4 0.875 0.627 0.252
Pt1 0.250 0.750 0.500
Pt2 0.500 0.500 0.000
```

SG   No. 122
Total magnetization   0.00 μB per formula unit
E above lowest polymorph   0.150 eV/atom
E_tot   -3.62 eV per atom
ρ   6.41 g cm⁻³